[1]
## Mn2CuTc (PBEsol)

Data for a geometry-optimized Mn2CuTc structure.

Structure (CIF):
```
data_Mn2CuTc
_cell_length_a 3.685
_cell_length_b 3.685
_cell_length_c 6.963
_cell_angle_alpha 90.00
_cell_angle_beta 90.00
_cell_angle_gamma 90.00
_symmetry_space_group_name_H-M 'I 4/m m m'
_symmetry_Int_Tables_number 139
_symmetry_space_group_name_Hall '-I 4 2'
loop_
_atom_site_label
_atom_site_fract_x
_atom_site_fract_y
_atom_site_fract_z
Mn1 0.000 0.500 0.250
Cu1 0.000 0.000 0.000
Tc1 0.000 0.000 0.500
```

magnetic moment: 6.06 Bohr magnetons per cell
crystal system: tetragonal
ΔH_f (0 K): 0.177 eV/atom
energy: -68.8 eV/cell

[2]
## ScInRh (PBEsol)

Data for a geometry-optimized ScInRh structure.

Structure (CIF):
```
data_ScInRh
_cell_length_a 3.416
_cell_length_b 3.416
_cell_length_c 9.157
_cell_angle_alpha 90.00
_cell_angle_beta 90.00
_cell_angle_gamma 90.00
_symmetry_space_group_name_H-M 'I 4 m m'
_symmetry_Int_Tables_number 107
_symmetry_space_group_name_Hall 'I 4 -2'
loop_
_atom_site_label
_atom_site_fract_x
_atom_site_fract_y
_atom_site_fract_z
Sc1 0.000 0.000 0.000
In1 0.000 0.000 0.311
Rh1 0.000 0.000 0.644
```

magnetic moment: 0.00 Bohr magnetons per cell
crystal system: tetragonal
ΔH_f (0 K): -0.670 eV/atom
energy: -39.5 eV/cell

[3]
## TaAg2Ir (PBEsol)

Data for a geometry-optimized TaAg2Ir structure.

Structure (CIF):
```
data_TaAg2Ir
_cell_length_a 4.027
_cell_length_b 4.027
_cell_length_c 7.774
_cell_angle_alpha 90.00
_cell_angle_beta 90.00
_cell_angle_gamma 90.00
_symmetry_space_group_name_H-M 'I -4 m 2'
_symmetry_Int_Tables_number 119
_symmetry_space_group_name_Hall 'I -4 -2'
loop_
_atom_site_label
_atom_site_fract_x
_atom_site_fract_y
_atom_site_fract_z
Ta1 0.000 0.000 0.000
Ag1 0.000 0.000 0.500
Ag2 0.000 0.500 0.250
Ir1 0.000 0.500 0.750
```

magnetic moment: 0.00 Bohr magnetons per cell
crystal system: tetragonal
excess energy over the best structure of this formula in the dataset: 0.0301 eV/atom
ΔH_f (0 K): 0.084 eV/atom
energy: -57.3 eV/cell

[4]
## Na3HfCd (PBEsol)

Data for a geometry-optimized Na3HfCd structure.

Structure (CIF):
```
data_Na3HfCd
_cell_length_a 6.053
_cell_length_b 6.053
_cell_length_c 6.053
_cell_angle_alpha 90.00
_cell_angle_beta 90.00
_cell_angle_gamma 90.00
_symmetry_space_group_name_H-M 'P m -3 m'
_symmetry_Int_Tables_number 221
_symmetry_space_group_name_Hall '-P 4 2 3'
loop_
_atom_site_label
_atom_site_fract_x
_atom_site_fract_y
_atom_site_fract_z
Na1 0.000 0.000 0.500
Hf1 0.000 0.000 0.000
Cd1 0.500 0.500 0.500
```

magnetic moment: 3.91 Bohr magnetons per cell
crystal system: cubic
excess energy over the best structure of this formula in the dataset: 0.3320 eV/atom
ΔH_f (0 K): 1.415 eV/atom
energy: -8.8 eV/cell

[5]
## Y2TlSb (PBEsol)

Data for a geometry-optimized Y2TlSb structure.

Structure (CIF):
```
data_Y2TlSb
_cell_length_a 4.1170
_cell_length_b 4.1170
_cell_length_c 23.5487
_cell_angle_alpha 90.00
_cell_angle_beta 90.00
_cell_angle_gamma 120.00
_symmetry_space_group_name_H-M 'R -3 m'
_symmetry_Int_Tables_number 166
_symmetry_space_group_name_Hall '-R 3 2"'
loop_
_atom_site_label
_atom_site_fract_x
_atom_site_fract_y
_atom_site_fract_z
Y1 0.0000 0.0000 0.2442
Tl1 0.0000 0.0000 0.0000
Sb1 0.0000 0.0000 0.5000
```

magnetic moment: 0.00 Bohr magnetons per cell
crystal system: trigonal
excess energy over the best structure of this formula in the dataset: 0.0355 eV/atom
energy: -71.2 eV/cell
E_form (uncorrected): -2.89 eV per formula unit

[6]
## Te2HRh (PBEsol)

Data for a geometry-optimized Te2HRh structure.

Structure (CIF):
```
data_Te2HRh
_cell_length_a 4.0369
_cell_length_b 4.0369
_cell_length_c 19.2912
_cell_angle_alpha 90.00
_cell_angle_beta 90.00
_cell_angle_gamma 120.00
_symmetry_space_group_name_H-M 'R -3 m'
_symmetry_Int_Tables_number 166
_symmetry_space_group_name_Hall '-R 3 2"'
loop_
_atom_site_label
_atom_site_fract_x
_atom_site_fract_y
_atom_site_fract_z
Te1 0.0000 0.0000 0.1020
H1 0.0000 0.0000 0.0000
Rh1 0.0000 0.0000 0.5000
```

magnetic moment: 0.00 Bohr magnetons per cell
crystal system: trigonal
energy: -56.9 eV/cell

[7]
## K2LaRu (PBEsol)

Data for a geometry-optimized K2LaRu structure.

Structure (CIF):
```
data_K2LaRu
_cell_length_a 4.199
_cell_length_b 4.199
_cell_length_c 12.664
_cell_angle_alpha 90.00
_cell_angle_beta 90.00
_cell_angle_gamma 90.00
_symmetry_space_group_name_H-M 'I 4/m m m'
_symmetry_Int_Tables_number 139
_symmetry_space_group_name_Hall '-I 4 2'
loop_
_atom_site_label
_atom_site_fract_x
_atom_site_fract_y
_atom_site_fract_z
K1 0.000 0.500 0.250
La1 0.000 0.000 0.000
Ru1 0.000 0.000 0.500
```

magnetic moment: 0.85 Bohr magnetons per cell
crystal system: tetragonal
excess energy over the best structure of this formula in the dataset: 0.0000 eV/atom
ΔH_f (0 K): 0.784 eV/atom
energy: -29.3 eV/cell

[8]
## ReNiIr2 (PBEsol)

Data for a geometry-optimized ReNiIr2 structure.

Structure (CIF):
```
data_ReNiIr2
_cell_length_a 2.694
_cell_length_b 3.731
_cell_length_c 5.311
_cell_angle_alpha 90.00
_cell_angle_beta 90.00
_cell_angle_gamma 90.00
_symmetry_space_group_name_H-M 'P m m m'
_symmetry_Int_Tables_number 47
_symmetry_space_group_name_Hall '-P 2 2'
loop_
_atom_site_label
_atom_site_fract_x
_atom_site_fract_y
_atom_site_fract_z
Re1 0.000 0.000 0.000
Ni1 0.000 0.000 0.500
Ir1 0.500 0.500 0.256
```

magnetic moment: 0.00 Bohr magnetons per cell
crystal system: orthorhombic
excess energy over the best structure of this formula in the dataset: 0.0000 eV/atom
ΔH_f (0 K): -0.130 eV/atom
energy: -39.7 eV/cell

[9]
## ZrTl4As (PBEsol)

Data for a geometry-optimized ZrTl4As structure.

Structure (CIF):
```
data_ZrTl4As
_cell_length_a 8.431
_cell_length_b 8.431
_cell_length_c 8.431
_cell_angle_alpha 90.00
_cell_angle_beta 90.00
_cell_angle_gamma 90.00
_symmetry_space_group_name_H-M 'F -4 3 m'
_symmetry_Int_Tables_number 216
_symmetry_space_group_name_Hall 'F -4 2 3'
loop_
_atom_site_label
_atom_site_fract_x
_atom_site_fract_y
_atom_site_fract_z
Zr1 0.000 0.000 0.000
Tl1 0.125 0.125 0.625
As1 0.250 0.250 0.250
```

magnetic moment: 0.00 Bohr magnetons per cell
crystal system: cubic
ΔH_f (0 K): 0.466 eV/atom
energy: -87.7 eV/cell

[10]
## SrMg2Cu (PBEsol)

Data for a geometry-optimized SrMg2Cu structure.

Structure (CIF):
```
data_SrMg2Cu
_cell_length_a 4.6768
_cell_length_b 4.6768
_cell_length_c 16.4524
_cell_angle_alpha 90.00
_cell_angle_beta 90.00
_cell_angle_gamma 120.00
_symmetry_space_group_name_H-M 'R 3 m'
_symmetry_Int_Tables_number 160
_symmetry_space_group_name_Hall 'R 3 -2"'
loop_
_atom_site_label
_atom_site_fract_x
_atom_site_fract_y
_atom_site_fract_z
Sr1 0.0000 0.0000 0.0000
Mg1 0.0000 0.0000 0.2020
Mg2 0.0000 0.0000 0.4713
Cu1 0.0000 0.0000 0.8096
```

magnetic moment: 0.00 Bohr magnetons per cell
crystal system: trigonal
ΔH_f (0 K): 0.017 eV/atom
energy: -28.6 eV/cell

[11]
## Be2NiSb (PBEsol)

Data for a geometry-optimized Be2NiSb structure.

Structure (CIF):
```
data_Be2NiSb
_cell_length_a 7.437
_cell_length_b 3.574
_cell_length_c 4.006
_cell_angle_alpha 90.00
_cell_angle_beta 102.50
_cell_angle_gamma 90.00
_symmetry_space_group_name_H-M 'C 1 2/m 1'
_symmetry_Int_Tables_number 12
_symmetry_space_group_name_Hall '-C 2y'
loop_
_atom_site_label
_atom_site_fract_x
_atom_site_fract_y
_atom_site_fract_z
Be1 0.216 0.000 0.117
Ni1 0.000 0.500 0.000
Sb1 0.000 0.000 0.500
```

magnetic moment: 0.00 Bohr magnetons per cell
crystal system: monoclinic
energy: -36.6 eV/cell
E_form (uncorrected): 0.39 eV per formula unit

[12]
## La3BPt (PBEsol)

Data for a geometry-optimized La3BPt structure.

Structure (CIF):
```
data_La3BPt
_cell_length_a 5.093
_cell_length_b 5.093
_cell_length_c 5.093
_cell_angle_alpha 90.00
_cell_angle_beta 90.00
_cell_angle_gamma 90.00
_symmetry_space_group_name_H-M 'P m -3 m'
_symmetry_Int_Tables_number 221
_symmetry_space_group_name_Hall '-P 4 2 3'
loop_
_atom_site_label
_atom_site_fract_x
_atom_site_fract_y
_atom_site_fract_z
La1 0.000 0.000 0.500
B1 0.000 0.000 0.000
Pt1 0.500 0.500 0.500
```

magnetic moment: 0.00 Bohr magnetons per cell
crystal system: cubic
ΔH_f (0 K): 0.027 eV/atom
energy: -29.9 eV/cell